1.
The following is a PBE calculation of a relaxed structure of HgSe2O, from the Alexandria database.

Cell and atoms, written as POSCAR:
```
HgSe2O
1.0
2.1489 1.2407 6.5551
-2.1489 1.2407 6.5551
0.0000 -2.4813 6.5551
Hg Se O
1 2 1
Direct
0.0000 0.0000 0.0000
0.4052 0.4052 0.4052
0.5948 0.5948 0.5948
0.5000 0.5000 0.5000
```

Computed properties:
Energy relative to the lowest polymorph listed for this composition ... 0.00 eV/f.u.
Uncorrected formation energy ... 0.12 eV per atom
Space-group type ... R-3m (166)


2.
The following is a PBE calculation of a relaxed structure of HgSe2O, from the Alexandria database.

Cell and atoms, written as POSCAR:
```
HgSe2O
1.0
-2.7351 2.7351 6.0290
2.7351 -2.7351 6.0290
2.7351 2.7351 -6.0290
Hg Se O
2 4 2
Direct
0.0000 0.0000 0.0000
0.7500 0.2500 0.5000
0.2409 0.6250 0.1159
0.3750 0.4909 0.6159
0.5091 0.1250 0.8841
0.8750 0.7591 0.3841
0.2500 0.7500 0.5000
0.5000 0.5000 0.0000
```

Computed properties:
Energy relative to the lowest polymorph listed for this composition ... 0.02 eV/f.u.
Uncorrected formation energy ... 0.12 eV per atom
Space-group type ... I-42d (122)


3.
The following is a PBE calculation of a relaxed structure of Hg2SeO, from the Alexandria database.

Cell and atoms, written as POSCAR:
```
Hg2SeO
1.0
-2.8917 2.8917 5.7239
2.8917 -2.8917 5.7239
2.8917 2.8917 -5.7239
Hg Se O
4 2 2
Direct
0.0681 0.6250 0.9431
0.3750 0.3181 0.4431
0.6819 0.1250 0.0569
0.8750 0.9319 0.5569
0.2500 0.7500 0.5000
0.5000 0.5000 0.0000
0.0000 0.0000 0.0000
0.7500 0.2500 0.5000
```

Computed properties:
Energy relative to the lowest polymorph listed for this composition ... 0.00 eV/f.u.
Uncorrected formation energy ... -0.17 eV per atom
Space-group type ... I-42d (122)


4.
The following is a PBE calculation of a relaxed structure of HgSeO3, from the Alexandria database.

Cell and atoms, written as POSCAR:
```
HgSeO3
1.0
3.9390 0.0000 0.0000
0.0000 3.9390 0.0000
0.0000 0.0000 3.9390
Hg Se O
1 1 3
Direct
0.0000 0.0000 0.0000
0.5000 0.5000 0.5000
0.0000 0.5000 0.5000
0.5000 0.0000 0.5000
0.5000 0.5000 0.0000
```

Computed properties:
Uncorrected formation energy ... -0.11 eV per atom
Space-group type ... Pm-3m (221)